(A)
# Mg6MnCo

Mg6MnCo after structural relaxation (PBE, Alexandria).

Summary:
- SG: No. 38
- Spin magnetization: 0.62 μB per atom

Cell: 4.733 6.149 6.149 Å, 58.42 90.00 90.00°
Sites, in units of the cell vectors:
1 Mg 0.000 0.000 0.000
2 Mg 0.000 0.016 0.491
3 Mg 0.000 0.491 0.016
4 Mg 0.500 0.340 0.820
5 Mg 0.500 0.820 0.340
6 Mg 0.500 0.836 0.836
7 Mn 0.000 0.482 0.482
8 Co 0.500 0.356 0.356



(B)
# Mg6MnCo

Mg6MnCo after structural relaxation (PBE, Alexandria).

Summary:
- SG: No. 38
- Spin magnetization: 0.59 μB per atom

Cell: 4.784 6.073 6.073 Å, 58.54 90.00 90.00°
Sites, in units of the cell vectors:
1 Mg 0.000 0.000 0.000
2 Mg 0.000 0.018 0.507
3 Mg 0.000 0.495 0.495
4 Mg 0.000 0.507 0.018
5 Mg 0.500 0.346 0.847
6 Mg 0.500 0.847 0.346
7 Mn 0.500 0.845 0.845
8 Co 0.500 0.347 0.347



The structure with the least stability is (B).



(A)
# Mg3MnCo

Mg3MnCo after structural relaxation (PBE, Alexandria).

Summary:
- SG: No. 221
- Spin magnetization: 0.94 μB per atom

Cell: 4.747 4.747 4.747 Å, 90.00 90.00 90.00°
Sites, in units of the cell vectors:
1 Mg 0.000 0.000 0.500
2 Mg 0.000 0.500 0.000
3 Mg 0.500 0.000 0.000
4 Mn 0.500 0.500 0.500
5 Co 0.000 0.000 0.000



(B)
# Mg3MnCo

Mg3MnCo after structural relaxation (PBE, Alexandria).

Summary:
- SG: No. 221
- Spin magnetization: 1.03 μB per atom

Cell: 4.913 4.913 4.913 Å, 90.00 90.00 90.00°
Sites, in units of the cell vectors:
1 Mg 0.000 0.000 0.500
2 Mg 0.000 0.500 0.000
3 Mg 0.500 0.000 0.000
4 Mn 0.000 0.000 0.000
5 Co 0.500 0.500 0.500



The structure with the least stability is (B).